Compound: Hg4PdI2
Source: the Alexandria database
Functional: PBE-GGA
Structure: relaxed

```
Hg4PdI2
1.0
-2.671 2.671 8.345
2.671 -2.671 8.345
2.671 2.671 -8.345
Hg Pd I
4 1 2
Direct
0.000 0.500 0.500 Hg
0.158 0.158 0.000 Hg
0.500 0.000 0.500 Hg
0.842 0.842 0.000 Hg
0.000 0.000 0.000 Pd
0.327 0.327 0.000 I
0.673 0.673 0.000 I
```

Output
The space group is I4/mmm, No. 139. The energy relative to the elements, uncorrected comes out at -81 kJ/mol of formula units.